The following is a DFT calculation (GGA-PBE) of crystalline Ho8Tm2Pb at its relaxed geometry.

Values from the calculation:
Energy of formation from the pure elements: -52 meV per atom

Cell: 19.2944 5.5153 6.3848 Å, 90.00 95.15 90.00°
Last column: nearest neighbours and their distance in Å.
Space group C2/m (No. 12)
One atom of each set of equivalent atoms:
Ho1 0.0453 0.0000 0.2706 [4 per cell]  2 Pb 3.33, 3 Ho 3.48-3.54
Ho2 0.0794 0.5000 0.5969 [4 per cell]  1 Pb 3.11, 5 Ho 3.20-3.48, 1 Tm 3.40
Ho3 0.1548 0.0000 0.8003 [4 per cell]  5 Ho 3.33-3.49, 4 Tm 3.54-3.69
Ho4 0.1638 0.5000 0.1234 [4 per cell]  1 Pb 3.19, 2 Tm 3.39, 4 Ho 3.44-3.56
Tm1 0.2437 0.0000 0.3375 [4 per cell]  9 Ho 3.39-3.73, 2 Tm 3.45
Pb1 0.0000 0.5000 0.0000 [2 per cell]  8 Ho 3.11-3.33